P:
# ScWI2N | Alexandria via LeMat-Bulk | PBE-GGA | relaxed
# Volume, Å³ per cell: 122.2
data_ScWI2N
_chemical_formula_sum 'Sc1 W1 I2 N1'
_space_group_name_H-M_alt 'P 4/m m m'
_space_group_IT_number 123
_space_group_name_Hall '-P 4 2'
_cell_length_a 5.646
_cell_length_b 5.646
_cell_length_c 3.833
_cell_angle_alpha 90.00
_cell_angle_beta 90.00
_cell_angle_gamma 90.00
loop_
_atom_site_label
_atom_site_fract_x
_atom_site_fract_y
_atom_site_fract_z
Sc1 0.000 0.000 0.000
W1 0.500 0.500 0.500
I1 0.000 0.500 0.500
N1 0.500 0.500 0.000

Q:
# ScWI2N | Alexandria via LeMat-Bulk | PBE-GGA | relaxed
# Volume, Å³ per cell: 130.5
data_ScWI2N
_chemical_formula_sum 'Sc1 W1 I2 N1'
_space_group_name_H-M_alt 'P 4/m m m'
_space_group_IT_number 123
_space_group_name_Hall '-P 4 2'
_cell_length_a 5.838
_cell_length_b 5.838
_cell_length_c 3.827
_cell_angle_alpha 90.00
_cell_angle_beta 90.00
_cell_angle_gamma 90.00
loop_
_atom_site_label
_atom_site_fract_x
_atom_site_fract_y
_atom_site_fract_z
Sc1 0.000 0.000 0.000
W1 0.500 0.500 0.500
I1 0.000 0.500 0.000
N1 0.000 0.000 0.500

Calculated relative energies: P 0.0; Q 61.0, given in kJ/mol of atoms

P:
# ScZnIN2 | Alexandria via LeMat-Bulk | PBE-GGA | relaxed
# Volume, Å³ per cell: 105.4
data_ScZnIN2
_chemical_formula_sum 'Sc1 Zn1 I1 N2'
_space_group_name_H-M_alt 'P 4/m m m'
_space_group_IT_number 123
_space_group_name_Hall '-P 4 2'
_cell_length_a 4.095
_cell_length_b 4.095
_cell_length_c 6.284
_cell_angle_alpha 90.00
_cell_angle_beta 90.00
_cell_angle_gamma 90.00
loop_
_atom_site_label
_atom_site_fract_x
_atom_site_fract_y
_atom_site_fract_z
Sc1 0.000 0.000 0.000
Zn1 0.500 0.500 0.500
I1 0.000 0.000 0.500
N1 0.000 0.500 0.000

Q:
# ScZnIN2 | Alexandria via LeMat-Bulk | PBE-GGA | relaxed
# Volume, Å³ per cell: 87.9
data_ScZnIN2
_chemical_formula_sum 'Sc1 Zn1 I1 N2'
_space_group_name_H-M_alt 'P 4/m m m'
_space_group_IT_number 123
_space_group_name_Hall '-P 4 2'
_cell_length_a 4.030
_cell_length_b 4.030
_cell_length_c 5.411
_cell_angle_alpha 90.00
_cell_angle_beta 90.00
_cell_angle_gamma 90.00
loop_
_atom_site_label
_atom_site_fract_x
_atom_site_fract_y
_atom_site_fract_z
Sc1 0.000 0.000 0.000
Zn1 0.500 0.500 0.500
I1 0.500 0.500 0.000
N1 0.000 0.500 0.500

Calculated relative energies: P 0.0; Q 43.4, given in kJ/mol of atoms

P:
# ZrScIN2 | Alexandria via LeMat-Bulk | PBE-GGA | relaxed
# Volume, Å³ per cell: 95.1
data_ZrScIN2
_chemical_formula_sum 'Zr1 Sc1 I1 N2'
_space_group_name_H-M_alt 'P 4/m m m'
_space_group_IT_number 123
_space_group_name_Hall '-P 4 2'
_cell_length_a 4.196
_cell_length_b 4.196
_cell_length_c 5.403
_cell_angle_alpha 90.00
_cell_angle_beta 90.00
_cell_angle_gamma 90.00
loop_
_atom_site_label
_atom_site_fract_x
_atom_site_fract_y
_atom_site_fract_z
Zr1 0.000 0.000 0.000
Sc1 0.500 0.500 0.500
I1 0.500 0.500 0.000
N1 0.000 0.500 0.500

Q:
# ZrScIN2 | Alexandria via LeMat-Bulk | PBE-GGA | relaxed
# Volume, Å³ per cell: 102.5
data_ZrScIN2
_chemical_formula_sum 'Zr1 Sc1 I1 N2'
_space_group_name_H-M_alt 'P 4/m m m'
_space_group_IT_number 123
_space_group_name_Hall '-P 4 2'
_cell_length_a 4.244
_cell_length_b 4.244
_cell_length_c 5.693
_cell_angle_alpha 90.00
_cell_angle_beta 90.00
_cell_angle_gamma 90.00
loop_
_atom_site_label
_atom_site_fract_x
_atom_site_fract_y
_atom_site_fract_z
Zr1 0.000 0.000 0.000
Sc1 0.500 0.500 0.500
I1 0.000 0.000 0.500
N1 0.000 0.500 0.000

Calculated relative energies: P 36.8; Q 0.0, given in kJ/mol of atoms

P:
# ZrScI2N | Alexandria via LeMat-Bulk | PBE-GGA | relaxed
# Volume, Å³ per cell: 131.8
data_ZrScI2N
_chemical_formula_sum 'Zr1 Sc1 I2 N1'
_space_group_name_H-M_alt 'P 4/m m m'
_space_group_IT_number 123
_space_group_name_Hall '-P 4 2'
_cell_length_a 5.867
_cell_length_b 5.867
_cell_length_c 3.828
_cell_angle_alpha 90.00
_cell_angle_beta 90.00
_cell_angle_gamma 90.00
loop_
_atom_site_label
_atom_site_fract_x
_atom_site_fract_y
_atom_site_fract_z
Zr1 0.000 0.000 0.000
Sc1 0.500 0.500 0.500
I1 0.000 0.500 0.500
N1 0.500 0.500 0.000

Q:
# ZrScI2N | Alexandria via LeMat-Bulk | PBE-GGA | relaxed
# Volume, Å³ per cell: 140.3
data_ZrScI2N
_chemical_formula_sum 'Zr1 Sc1 I2 N1'
_space_group_name_H-M_alt 'P 4/m m m'
_space_group_IT_number 123
_space_group_name_Hall '-P 4 2'
_cell_length_a 5.914
_cell_length_b 5.914
_cell_length_c 4.011
_cell_angle_alpha 90.00
_cell_angle_beta 90.00
_cell_angle_gamma 90.00
loop_
_atom_site_label
_atom_site_fract_x
_atom_site_fract_y
_atom_site_fract_z
Zr1 0.000 0.000 0.000
Sc1 0.500 0.500 0.500
I1 0.000 0.500 0.000
N1 0.000 0.000 0.500

Calculated relative energies: P 19.0; Q 0.0, given in kJ/mol of atoms

P:
# SeIN | Alexandria via LeMat-Bulk | PBE-GGA | relaxed
# Volume, Å³ per cell: 197.8
data_SeIN
_chemical_formula_sum 'Se2 I2 N2'
_space_group_name_H-M_alt 'P 1 21/m 1'
_space_group_IT_number 11
_cell_length_a 4.612
_cell_length_b 3.286
_cell_length_c 13.070
_cell_angle_alpha 90.00
_cell_angle_beta 93.01
_cell_angle_gamma 90.00
loop_
_space_group_symop_operation_xyz
'x,y,z'
'-x,-y,-z'
'-x,y+1/2,-z'
'x,-y+1/2,z'
loop_
_atom_site_label
_atom_site_fract_x
_atom_site_fract_y
_atom_site_fract_z
Se1 0.133 0.250 0.455
I1 0.341 0.750 0.252
N1 0.238 0.750 0.889

Q:
# SeIN | Alexandria via LeMat-Bulk | PBE-GGA | relaxed
# Volume, Å³ per cell: 434.3
data_SeIN
_chemical_formula_sum 'Se4 I4 N4'
_space_group_name_H-M_alt 'P 1 21/c 1'
_space_group_IT_number 14
_cell_length_a 12.876
_cell_length_b 4.125
_cell_length_c 8.185
_cell_angle_alpha 90.00
_cell_angle_beta 92.41
_cell_angle_gamma 90.00
loop_
_space_group_symop_operation_xyz
'x,y,z'
'-x,-y,-z'
'-x,y+1/2,-z+1/2'
'x,-y+1/2,z+1/2'
loop_
_atom_site_label
_atom_site_fract_x
_atom_site_fract_y
_atom_site_fract_z
Se1 0.177 0.250 0.370
I1 0.177 0.750 0.120
N1 0.481 0.579 0.453

Calculated relative energies: P 156.3; Q 0.0, given in kJ/mol of atoms

P:
# Se2IN | Alexandria via LeMat-Bulk | PBE-GGA | relaxed
# Volume, Å³ per cell: 422.7
data_Se2IN
_chemical_formula_sum 'Se6 I3 N3'
_space_group_name_H-M_alt 'R -3 m'
_space_group_IT_number 166
_space_group_name_Hall '-R 3 2"'
_cell_length_a 4.5440
_cell_length_b 4.5440
_cell_length_c 23.6403
_cell_angle_alpha 90.00
_cell_angle_beta 90.00
_cell_angle_gamma 120.00
loop_
_atom_site_label
_atom_site_fract_x
_atom_site_fract_y
_atom_site_fract_z
Se1 0.0000 0.0000 0.0717
I1 0.0000 0.0000 0.5000
N1 0.0000 0.0000 0.0000

Q:
# Se2IN | Alexandria via LeMat-Bulk | PBE-GGA | relaxed
# Volume, Å³ per cell: 312.1
data_Se2IN
_chemical_formula_sum 'Se8 I4 N4'
_space_group_name_H-M_alt 'F m -3 m'
_space_group_IT_number 225
_space_group_name_Hall '-F 4 2 3'
_cell_length_a 6.783
_cell_length_b 6.783
_cell_length_c 6.783
_cell_angle_alpha 90.00
_cell_angle_beta 90.00
_cell_angle_gamma 90.00
loop_
_atom_site_label
_atom_site_fract_x
_atom_site_fract_y
_atom_site_fract_z
Se1 0.250 0.250 0.250
I1 0.000 0.000 0.000
N1 0.000 0.000 0.500

R:
# Se2IN | Alexandria via LeMat-Bulk | PBE-GGA | relaxed
# Volume, Å³ per cell: 385.0
data_Se2IN
_chemical_formula_sum 'Se8 I4 N4'
_space_group_name_H-M_alt 'I -4 2 d'
_space_group_IT_number 122
_space_group_name_Hall 'I -4 2bw'
_cell_length_a 5.652
_cell_length_b 5.652
_cell_length_c 12.052
_cell_angle_alpha 90.00
_cell_angle_beta 90.00
_cell_angle_gamma 90.00
loop_
_atom_site_label
_atom_site_fract_x
_atom_site_fract_y
_atom_site_fract_z
Se1 0.031 0.250 0.125
I1 0.000 0.000 0.500
N1 0.000 0.000 0.000

Calculated relative energies: P 0.0; Q 123.4; R 32.6, given in kJ/mol of atoms